Record 1
KNbGeO5, relaxed, DFT GGA-PBE; ΔE_f (raw) = -2141 meV/atom
1.0
5.8916 0.1030 -0.0883
-1.6213 5.6651 -0.0883
-1.8810 -2.5408 6.9511
K Nb Ge O
2 2 2 10
Cartesian
0.3730 3.2053 1.6495
2.0163 0.0220 5.1250
-0.9405 -1.2704 3.4755
0.0000 0.0000 0.0000
3.0766 1.2037 1.6495
-0.6873 2.0236 5.1250
-1.6925 4.7345 1.6495
4.0818 -1.5071 5.1250
4.5254 1.4471 0.6433
-2.1361 1.7802 6.1313
3.2668 -0.2530 2.6557
-0.8775 3.4804 4.1188
2.7818 2.6530 2.6459
-0.3925 0.5744 4.1287
1.6044 1.0627 0.6531
0.7849 2.1647 6.1214

---

Record 2
K3Nb3Ge2O13, relaxed, DFT GGA-PBE; ΔE_f (raw) = -2200 meV/atom
1.0
-2.2283 -5.9701 6.9439
8.6045 3.8302 -0.3416
-2.5242 6.0633 4.4030
K Nb Ge O
6 6 4 26
Cartesian
-2.6124 -0.5861 6.4094
1.2502 2.1885 4.8029
3.9521 5.3527 1.9945
-1.3569 -3.6353 4.2283
2.4936 -0.8369 2.5820
5.2395 2.3323 -0.2080
-1.1497 0.1322 2.7155
3.0034 2.9017 8.3691
0.1063 5.4341 3.2208
1.3660 2.4082 1.0235
4.2632 -0.1242 6.1718
-2.4095 3.1581 4.9128
4.4278 1.9226 3.0738
3.0352 5.2677 5.5029
-0.5758 2.0009 7.9314
0.8168 -1.3442 5.5023
4.9936 0.5635 2.0869
1.3826 -2.7033 4.5154
-0.6139 -1.6448 1.9131
4.6195 -1.5503 4.7833
2.3706 1.0552 -0.0941
-2.4099 -3.5884 6.7354
-0.8642 4.3398 4.5528
5.1663 7.8796 3.1355
6.5616 4.5280 0.7016
0.5311 0.9882 2.1190
-3.8052 -0.2368 9.1692
-0.2547 -0.3966 4.5072
1.1600 2.1216 7.8361
-1.0757 0.5379 8.7353
-0.0117 -2.0180 6.8793
2.2240 -0.4343 5.9801
4.6174 5.6885 4.9064
3.0895 3.8672 6.5384
1.8914 5.0635 4.2042
-1.3187 2.1593 6.3631
2.9554 2.5076 2.3482
5.6815 3.1326 3.0504
4.1535 1.3113 4.6825
-1.7301 1.7778 3.6598
3.7750 1.3412 7.4172
0.5450 3.8361 2.1297

---

Record 3
K3NbGe2O8, relaxed, DFT GGA-PBE; ΔE_f (raw) = -1949 meV/atom
1.0
-0.5238 -4.8845 -2.9147
4.8671 2.9779 -0.2679
2.7506 -3.9453 6.1174
K Nb Ge O
3 1 2 8
Cartesian
5.0450 -2.4755 3.2418
2.0490 -3.3765 -0.3070
0.0000 0.0000 0.0000
1.3753 -1.9727 3.0587
3.7812 -0.6628 0.4312
3.3127 -5.1892 2.5036
3.1844 0.1932 -0.8961
3.9095 -6.0452 3.8309
4.9382 0.2897 1.4395
2.1557 -6.1417 1.4953
2.4925 -1.2066 1.5742
4.6014 -4.6454 1.3606
4.6750 -2.1647 -0.0251
2.4189 -3.6873 2.9599

---

Record 4
K2NbGeO6, relaxed, DFT GGA-PBE; ΔE_f (raw) = -1885 meV/atom
1.0
-2.0067 -2.0644 -4.8821
-4.0018 -2.1765 2.5652
-2.8092 4.3553 -0.6870
K Nb Ge O
2 1 1 6
Cartesian
-2.1254 -1.2164 0.9796
-1.5291 2.0495 -0.6465
-4.5451 -0.0830 -1.8335
-1.1283 -1.1608 -2.7451
-2.9944 -0.8597 -2.8247
-4.4452 1.3895 -3.1795
-3.9072 0.5732 -0.2815
-0.5137 -0.5285 -1.2498
-6.5119 0.2655 -1.8547
-5.0611 -1.9838 -1.4999

---

Record 5
K2NbGeRu, relaxed, DFT GGA-PBE; ΔH_f (0 K) = 820 kJ/mol of formula units
1.0
-4.8842 -2.6375 2.3799
2.6390 -1.8354 3.3818
-0.9755 4.8862 3.4131
K Ru Nb Ge
2 1 1 1
Cartesian
-0.4877 2.4431 1.7066
-2.4421 -1.3188 1.1900
0.0000 0.0000 0.0000
-1.6104 0.2066 4.5874
1.3195 -0.9177 1.6909

---

Record 6
KNbVGe2, relaxed, DFT GGA-PBE; ΔH_f (0 K) = 284 kJ/mol of formula units
1.0
-3.7765 3.5105 -0.2036
-2.3366 -2.3181 3.3700
2.4112 2.8027 3.5997
K Nb Ge V
1 1 2 1
Cartesian
-1.8509 1.9975 3.3831
0.0000 0.0000 0.0000
1.2056 1.4013 1.7998
-1.8882 1.7553 -0.1018
-1.1683 -1.1591 1.6850

---

Record 7
KNdGe, relaxed, DFT GGA-PBE; ΔH_f (0 K) = -69 kJ/mol of formula units
1.0
6.4184 2.7995 4.0226
2.7683 6.4320 4.0226
-2.2010 -2.2117 4.6760
K Nd Ge
2 2 2
Cartesian
-1.1142 -1.1196 4.0401
8.0999 8.1394 8.6809
5.2478 5.2733 9.4770
1.7380 1.7465 3.2441
1.4166 1.4235 6.4104
5.5692 5.5963 6.3107

---

Record 8
KNdGe4, relaxed, DFT GGA-PBE; ΔH_f (0 K) = -135 kJ/mol of formula units
1.0
-1.8895 4.9822 2.2746
-4.7543 0.0541 3.3106
0.4495 0.9369 5.6997
Ge Nd K
4 1 1
Cartesian
-4.1290 3.2739 4.1558
-1.4415 3.7299 5.3897
-3.8969 3.7578 7.0994
-2.9211 1.1847 5.9247
0.0000 0.0000 0.0000
-1.5486 1.4933 2.8212

---

| no. | total magnetization (μB per formula unit) |
| --- | --- |
| 1 | 0.000 |
| 2 | 0.000 |
| 3 | 0.000 |
| 4 | 0.204 |
| 5 | 0.486 |
| 6 | 0.172 |
| 7 | 0.000 |
| 8 | 0.000 |